# PBE-GGA Mg2PW, optimized geometry
# Calculated volume (Å³ per cell): 203.48
# E_tot (eV per atom): -5.11
# ΔH_f (0 K) (kcal/mol of atoms): 6.48
# M_tot (μB/cell): 0.00
data_Mg2PW
_chemical_formula_sum 'Mg6 P3 W3'
_cell_length_a 2.9661
_cell_length_b 2.9661
_cell_length_c 26.7068
_cell_angle_alpha 90.00
_cell_angle_beta 90.00
_cell_angle_gamma 120.00
_symmetry_space_group_name_H-M 'R -3 m'
_symmetry_Int_Tables_number 166
_symmetry_space_group_name_Hall '-R 3 2"'
loop_
_atom_site_label
_atom_site_type_symbol
_atom_site_fract_x
_atom_site_fract_y
_atom_site_fract_z
Mg1 Mg 0.0000 0.0000 0.2464
P1 P 0.0000 0.0000 0.5000
W1 W 0.0000 0.0000 0.0000